First-principles (GGA-PBE) data for a relaxed SrSe3 crystal, as listed in Alexandria.

Cell and atoms, written as CIF:
```
data_SrSe3
_chemical_formula_sum 'Sr3 Se9'
_cell_length_a 5.753
_cell_length_b 5.753
_cell_length_c 11.169
_cell_angle_alpha 90.00
_cell_angle_beta 90.00
_cell_angle_gamma 120.00
_symmetry_space_group_name_H-M 'P 1'
_symmetry_Int_Tables_number 1
_symmetry_space_group_name_Hall 'P 1'
loop_
_atom_site_label
_atom_site_type_symbol
_atom_site_fract_x
_atom_site_fract_y
_atom_site_fract_z
Se1 Se 0.333 0.667 0.167
Se2 Se 0.333 0.667 0.392
Se3 Se 0.667 0.333 0.608
Se4 Se 0.667 0.333 0.059
Se5 Se 0.000 0.000 0.500
Se6 Se 0.000 0.000 0.725
Se7 Se 0.333 0.667 0.941
Se8 Se 0.000 0.000 0.275
Se9 Se 0.667 0.333 0.833
Sr1 Sr 0.333 0.667 0.667
Sr2 Sr 0.667 0.333 0.333
Sr3 Sr 0.000 0.000 0.000
```

## Properties
Its formation energy without anion corrections is -0.67 eV per atom. The total magnetization comes out at 0.00 μB per formula unit. The symmetry is R-3m, No. 166.

***

First-principles (GGA-PBE) data for a relaxed SrSe3 crystal, as listed in Alexandria.

Cell and atoms, written as CIF:
```
data_SrSe3
_chemical_formula_sum 'Sr2 Se6'
_cell_length_a 5.810
_cell_length_b 5.810
_cell_length_c 5.810
_cell_angle_alpha 90.00
_cell_angle_beta 90.00
_cell_angle_gamma 90.00
_symmetry_space_group_name_H-M 'P 1'
_symmetry_Int_Tables_number 1
_symmetry_space_group_name_Hall 'P 1'
loop_
_atom_site_label
_atom_site_type_symbol
_atom_site_fract_x
_atom_site_fract_y
_atom_site_fract_z
Se1 Se 0.000 0.250 0.500
Se2 Se 0.000 0.750 0.500
Se3 Se 0.750 0.500 0.000
Se4 Se 0.500 0.000 0.250
Se5 Se 0.500 0.000 0.750
Se6 Se 0.250 0.500 0.000
Sr1 Sr 0.000 0.000 0.000
Sr2 Sr 0.500 0.500 0.500
```

## Properties
Its formation energy without anion corrections is -0.63 eV per atom. The total magnetization comes out at 0.00 μB per formula unit. The symmetry is Pm-3n, No. 223.

***

First-principles (GGA-PBE) data for a relaxed SrSe2 crystal, as listed in Alexandria.

Cell and atoms, written as CIF:
```
data_SrSe2
_chemical_formula_sum 'Sr2 Se4'
_cell_length_a 10.927
_cell_length_b 10.927
_cell_length_c 10.927
_cell_angle_alpha 157.82
_cell_angle_beta 157.82
_cell_angle_gamma 31.57
_symmetry_space_group_name_H-M 'P 1'
_symmetry_Int_Tables_number 1
_symmetry_space_group_name_Hall 'P 1'
loop_
_atom_site_label
_atom_site_type_symbol
_atom_site_fract_x
_atom_site_fract_y
_atom_site_fract_z
Sr1 Sr 0.000 0.000 0.000
Sr2 Sr 0.750 0.250 0.500
Se1 Se 0.191 0.691 0.500
Se2 Se 0.441 0.441 0.000
Se3 Se 0.309 0.809 0.500
Se4 Se 0.559 0.559 0.000
```

## Properties
Its formation energy without anion corrections is -1.27 eV per atom. The total magnetization comes out at 0.00 μB per formula unit. The symmetry is I4_1/amd, No. 141.

***

First-principles (GGA-PBE) data for a relaxed SrSe crystal, as listed in Alexandria.

Cell and atoms, written as CIF:
```
data_SrSe
_chemical_formula_sum 'Sr1 Se1'
_cell_length_a 5.834
_cell_length_b 4.305
_cell_length_c 4.304
_cell_angle_alpha 120.00
_cell_angle_beta 68.38
_cell_angle_gamma 68.35
_symmetry_space_group_name_H-M 'P 1'
_symmetry_Int_Tables_number 1
_symmetry_space_group_name_Hall 'P 1'
loop_
_atom_site_label
_atom_site_type_symbol
_atom_site_fract_x
_atom_site_fract_y
_atom_site_fract_z
Se1 Se 0.387 0.094 0.040
Sr1 Sr 0.887 0.927 0.206
```

## Properties
Its formation energy without anion corrections is -1.91 eV per atom. The total magnetization comes out at 0.00 μB per formula unit. The symmetry is P-6m2, No. 187.

***

First-principles (GGA-PBE) data for a relaxed SrSe crystal, as listed in Alexandria.

Cell and atoms, written as CIF:
```
data_SrSe
_chemical_formula_sum 'Sr1 Se1'
_cell_length_a 4.454
_cell_length_b 4.454
_cell_length_c 4.454
_cell_angle_alpha 90.00
_cell_angle_beta 120.00
_cell_angle_gamma 60.00
_symmetry_space_group_name_H-M 'P 1'
_symmetry_Int_Tables_number 1
_symmetry_space_group_name_Hall 'P 1'
loop_
_atom_site_label
_atom_site_type_symbol
_atom_site_fract_x
_atom_site_fract_y
_atom_site_fract_z
Se1 Se 0.260 0.138 0.873
Sr1 Sr 0.260 0.638 0.373
```

## Properties
Its formation energy without anion corrections is -2.07 eV per atom. The total magnetization comes out at 0.00 μB per formula unit. The symmetry is Fm-3m, No. 225.

***

First-principles (GGA-PBE) data for a relaxed SrSe2 crystal, as listed in Alexandria.

Cell and atoms, written as CIF:
```
data_SrSe2
_chemical_formula_sum 'Sr4 Se8'
_cell_length_a 4.093
_cell_length_b 7.478
_cell_length_c 10.519
_cell_angle_alpha 90.00
_cell_angle_beta 90.00
_cell_angle_gamma 90.00
_symmetry_space_group_name_H-M 'P 1'
_symmetry_Int_Tables_number 1
_symmetry_space_group_name_Hall 'P 1'
loop_
_atom_site_label
_atom_site_type_symbol
_atom_site_fract_x
_atom_site_fract_y
_atom_site_fract_z
Se1 Se 0.750 0.402 0.958
Se2 Se 0.250 0.598 0.042
Se3 Se 0.750 0.361 0.344
Se4 Se 0.250 0.639 0.656
Se5 Se 0.750 0.861 0.156
Se6 Se 0.250 0.098 0.458
Se7 Se 0.750 0.902 0.542
Se8 Se 0.250 0.139 0.844
Sr1 Sr 0.750 0.319 0.650
Sr2 Sr 0.250 0.681 0.350
Sr3 Sr 0.250 0.181 0.150
Sr4 Sr 0.750 0.819 0.850
```

## Properties
Its formation energy without anion corrections is -1.30 eV per atom. The total magnetization comes out at 0.00 μB per formula unit. The symmetry is Pnma, No. 62.

***

- total magnetization of number 6 (SrSe2)?
  0.00 μB per formula unit

***

- Look up the formation energy without anion corrections of the fifth one.
  -2.07 eV per atom

***

Repeat the fourth record exactly.
First-principles (GGA-PBE) data for a relaxed SrSe crystal, as listed in Alexandria.

Cell and atoms, written as CIF:
```
data_SrSe
_chemical_formula_sum 'Sr1 Se1'
_cell_length_a 5.834
_cell_length_b 4.305
_cell_length_c 4.304
_cell_angle_alpha 120.00
_cell_angle_beta 68.38
_cell_angle_gamma 68.35
_symmetry_space_group_name_H-M 'P 1'
_symmetry_Int_Tables_number 1
_symmetry_space_group_name_Hall 'P 1'
loop_
_atom_site_label
_atom_site_type_symbol
_atom_site_fract_x
_atom_site_fract_y
_atom_site_fract_z
Se1 Se 0.387 0.094 0.040
Sr1 Sr 0.887 0.927 0.206
```

## Properties
Its formation energy without anion corrections is -1.91 eV per atom. The total magnetization comes out at 0.00 μB per formula unit. The symmetry is P-6m2, No. 187.